{
  "formula": "TbPmFe2O6",
  "functional": "GGA+U",
  "state": "optimized geometry",
  "energy_ev_per_fu": -73.8,
  "cell": [[5.493, 0.005, 0.057], [2.751, 4.715, 0.021], [2.793, 1.566, 4.465]],
  "species": ["Tb", "Pm", "Fe", "Fe", "O", "O", "O", "O", "O", "O"],
  "fractional_positions": [[0.267, 0.286, 0.205], [0.764, 0.752, 0.700], [0.516, 0.516, 0.452], [0.016, 0.016, 0.951], [0.706, 0.316, 0.145], [0.265, 0.874, 0.199], [0.831, 0.707, 0.253], [0.317, 0.706, 0.767], [0.770, 0.170, 0.701], [0.209, 0.317, 0.642]]
}

=====

{
  "formula": "PmFe2TcO6",
  "functional": "GGA+U",
  "state": "optimized geometry",
  "energy_ev_per_fu": -74.3,
  "cell": [[5.460, 0.009, 0.004], [2.739, 4.726, -0.047], [2.736, 1.529, 4.845]],
  "species": ["Pm", "Fe", "Fe", "Tc", "O", "O", "O", "O", "O", "O"],
  "fractional_positions": [[0.808, 0.803, 0.584], [0.518, 0.522, 0.429], [0.016, 0.015, 0.954], [0.318, 0.319, 0.041], [0.581, 0.243, 0.240], [0.241, 0.949, 0.233], [0.947, 0.584, 0.234], [0.386, 0.702, 0.760], [0.706, 0.144, 0.770], [0.140, 0.380, 0.772]]
}

=====

{
  "formula": "PmTiFeO5",
  "functional": "GGA+U",
  "state": "optimized geometry",
  "energy_ev_per_fu": -64.4,
  "cell": [[-0.640, 1.136, 5.556], [-2.785, -4.897, -0.911], [7.138, -1.717, -0.766]],
  "species": ["Pm", "Pm", "Ti", "Ti", "Fe", "Fe", "O", "O", "O", "O", "O", "O", "O", "O", "O", "O"],
  "fractional_positions": [[0.322, 0.678, 0.250], [0.678, 0.322, 0.750], [0.000, 0.000, 0.500], [0.000, 0.000, 0.000], [0.682, 0.318, 0.250], [0.318, 0.682, 0.750], [0.062, 0.938, 0.250], [0.938, 0.062, 0.750], [0.891, 0.310, 0.088], [0.109, 0.690, 0.912], [0.690, 0.109, 0.412], [0.310, 0.891, 0.588], [0.738, 0.651, 0.415], [0.262, 0.349, 0.585], [0.349, 0.262, 0.085], [0.651, 0.738, 0.915]]
}

=====

{
  "formula": "PmUFe2O6",
  "functional": "GGA+U",
  "state": "optimized geometry",
  "energy_ev_per_fu": -82.4,
  "cell": [[5.634, 0.011, 0.051], [2.827, 4.865, 0.016], [2.865, 1.614, 5.017]],
  "species": ["Pm", "U", "Fe", "Fe", "O", "O", "O", "O", "O", "O"],
  "fractional_positions": [[0.803, 0.811, 0.579], [0.315, 0.317, 0.048], [0.526, 0.521, 0.421], [0.017, 0.026, 0.951], [0.619, 0.225, 0.234], [0.232, 0.917, 0.242], [0.907, 0.592, 0.256], [0.375, 0.724, 0.776], [0.716, 0.135, 0.766], [0.152, 0.395, 0.742]]
}

=====

{
  "formula": "PmVFe2O6",
  "functional": "GGA+U",
  "state": "optimized geometry",
  "energy_ev_per_fu": -73.2,
  "cell": [[5.334, 0.148, -0.088], [2.795, 4.679, -0.135], [2.629, 1.514, 4.748]],
  "species": ["Pm", "V", "Fe", "Fe", "O", "O", "O", "O", "O", "O"],
  "fractional_positions": [[0.770, 0.808, 0.618], [0.304, 0.321, 0.043], [0.519, 0.531, 0.426], [0.007, 0.021, 0.968], [0.616, 0.216, 0.231], [0.261, 0.934, 0.205], [0.955, 0.576, 0.237], [0.347, 0.724, 0.770], [0.719, 0.168, 0.761], [0.162, 0.363, 0.757]]
}

=====

{
  "formula": "Pm2VFeO6",
  "functional": "GGA+U",
  "state": "optimized geometry",
  "energy_ev_per_fu": -75.1,
  "cell": [[-1.036, 3.686, 1.066], [-2.925, -2.003, 4.085], [4.326, 0.280, 3.235]],
  "species": ["Pm", "Pm", "V", "Fe", "O", "O", "O", "O", "O", "O"],
  "fractional_positions": [[0.084, 0.500, 0.000], [0.084, 0.000, 0.500], [0.641, 0.000, 0.000], [0.652, 0.500, 0.500], [0.671, 0.247, 0.247], [0.671, 0.247, 0.753], [0.152, 0.500, 0.500], [0.151, 0.000, 0.000], [0.671, 0.753, 0.753], [0.671, 0.753, 0.247]]
}

=====

{
  "formula": "PmFeWO6",
  "functional": "GGA+U",
  "state": "optimized geometry",
  "energy_ev_per_fu": -66.5,
  "cell": [[4.956, 0.000, 0.000], [0.000, 4.956, 0.000], [0.000, 0.000, 9.589]],
  "species": ["Pm", "Pm", "Fe", "Fe", "W", "W", "O", "O", "O", "O", "O", "O", "O", "O", "O", "O", "O", "O"],
  "fractional_positions": [[0.500, 0.500, 0.491], [0.000, 0.000, 0.991], [0.500, 0.500, 0.161], [0.000, 0.000, 0.661], [0.500, 0.500, 0.827], [0.000, 0.000, 0.327], [0.170, 0.830, 0.499], [0.830, 0.170, 0.499], [0.330, 0.330, 0.999], [0.670, 0.670, 0.999], [0.200, 0.800, 0.195], [0.800, 0.200, 0.195], [0.300, 0.300, 0.695], [0.700, 0.700, 0.695], [0.781, 0.219, 0.816], [0.219, 0.781, 0.816], [0.719, 0.719, 0.316], [0.281, 0.281, 0.316]]
}

=====

{
  "formula": "PmZnFeO4",
  "functional": "GGA+U",
  "state": "optimized geometry",
  "energy_ev_per_fu": -46.0,
  "cell": [[5.584, 0.038, 0.000], [-2.208, 5.129, 0.000], [0.000, 0.000, 6.855]],
  "species": ["Pm", "Pm", "Zn", "Zn", "Fe", "Fe", "O", "O", "O", "O", "O", "O", "O", "O"],
  "fractional_positions": [[0.500, 0.500, 0.500], [0.500, 0.500, 0.000], [0.842, 0.158, 0.250], [0.158, 0.842, 0.750], [0.145, 0.855, 0.250], [0.855, 0.145, 0.750], [0.230, 0.240, 0.750], [0.760, 0.770, 0.750], [0.753, 0.247, 0.989], [0.753, 0.247, 0.511], [0.247, 0.753, 0.011], [0.247, 0.753, 0.489], [0.770, 0.760, 0.250], [0.240, 0.230, 0.250]]
}

=====

{
  "formula": "Pm2ZnFeO6",
  "functional": "GGA+U",
  "state": "optimized geometry",
  "energy_ev_per_fu": -69.0,
  "cell": [[5.414, 0.000, -0.009], [0.000, 5.684, 0.000], [0.036, 0.000, 7.689]],
  "species": ["Pm", "Pm", "Pm", "Pm", "Zn", "Zn", "Fe", "Fe", "O", "O", "O", "O", "O", "O", "O", "O", "O", "O", "O", "O"],
  "fractional_positions": [[0.017, 0.935, 0.250], [0.517, 0.565, 0.750], [0.983, 0.065, 0.750], [0.483, 0.435, 0.250], [0.500, 0.000, 0.500], [0.000, 0.500, 0.000], [0.500, 0.000, 0.000], [0.000, 0.500, 0.500], [0.309, 0.712, 0.052], [0.809, 0.788, 0.552], [0.691, 0.288, 0.948], [0.191, 0.212, 0.448], [0.290, 0.691, 0.454], [0.790, 0.809, 0.954], [0.710, 0.309, 0.546], [0.210, 0.191, 0.046], [0.905, 0.527, 0.261], [0.405, 0.973, 0.761], [0.095, 0.473, 0.739], [0.595, 0.027, 0.239]]
}

=====

{
  "formula": "PmZrFe2O6",
  "functional": "GGA+U",
  "state": "optimized geometry",
  "energy_ev_per_fu": -79.1,
  "cell": [[-1.281, 5.113, 1.440], [-5.210, 1.316, 0.969], [-1.667, 1.014, 5.535]],
  "species": ["Pm", "Zr", "Fe", "Fe", "O", "O", "O", "O", "O", "O"],
  "fractional_positions": [[0.797, 0.803, 0.605], [0.312, 0.312, 0.067], [0.527, 0.521, 0.429], [0.016, 0.018, 0.950], [0.623, 0.224, 0.228], [0.222, 0.921, 0.229], [0.916, 0.616, 0.235], [0.356, 0.734, 0.759], [0.732, 0.151, 0.761], [0.161, 0.363, 0.750]]
}

=====

{
  "formula": "PrFe2O4",
  "functional": "GGA+U",
  "state": "optimized geometry",
  "energy_ev_per_fu": -50.2,
  "cell": [[-6.404, 3.026, -0.158], [-4.184, -0.785, -4.418], [-5.151, -2.485, 2.221]],
  "species": ["Pr", "Pr", "Fe", "Fe", "Fe", "Fe", "O", "O", "O", "O", "O", "O", "O", "O"],
  "fractional_positions": [[0.763, 0.500, 0.500], [0.987, 0.000, 0.000], [0.875, 0.750, 0.750], [0.375, 0.250, 0.250], [0.375, 0.750, 0.250], [0.375, 0.250, 0.750], [0.590, 0.321, 0.321], [0.160, 0.179, 0.179], [0.233, 0.679, 0.679], [0.098, 0.312, 0.690], [0.098, 0.690, 0.312], [0.517, 0.821, 0.821], [0.651, 0.188, 0.810], [0.652, 0.810, 0.188]]
}

=====

{
  "formula": "Pr3FeO6",
  "functional": "GGA+U",
  "state": "optimized geometry",
  "energy_ev_per_fu": -78.6,
  "cell": [[-0.962, 4.287, 3.642], [-7.297, -1.736, 0.116], [2.784, -4.137, 5.604]],
  "species": ["Pr", "Pr", "Pr", "Pr", "Pr", "Pr", "Fe", "Fe", "O", "O", "O", "O", "O", "O", "O", "O", "O", "O", "O", "O"],
  "fractional_positions": [[0.476, 0.913, 0.700], [0.976, 0.700, 0.913], [0.433, 0.396, 0.604], [0.933, 0.604, 0.396], [0.976, 0.087, 0.300], [0.476, 0.300, 0.087], [0.009, 0.192, 0.808], [0.509, 0.808, 0.192], [0.206, 0.672, 0.647], [0.706, 0.647, 0.672], [0.179, 0.415, 0.893], [0.679, 0.893, 0.415], [0.146, 0.042, 0.958], [0.677, 0.215, 0.785], [0.177, 0.785, 0.215], [0.646, 0.958, 0.042], [0.179, 0.107, 0.585], [0.679, 0.585, 0.107], [0.206, 0.353, 0.328], [0.706, 0.328, 0.353]]
}